The following is a DFT calculation (GGA-PBE) of a relaxed RbMg2SbF crystal.

Output
Space-group type = P4/mmm (123)
ΔE_f (raw) = -0.0373 eV/atom

Unit cell a=6.0870 b=4.5791 c=6.0870 alpha=90.00 beta=90.00 gamma=90.00
Sites, in units of the cell vectors:
Rb 0.0000 0.0000 0.0000
Sb 0.5000 0.5000 0.5000
Mg 0.5000 0.0000 0.0000
F 0.0000 0.5000 0.0000
Mg 0.0000 0.0000 0.5000

The following is a DFT calculation (GGA-PBE) of a relaxed Rb2Mg3ScF12 crystal.

Output
Space-group type = R-3m (166)
ΔE_f (raw) = -3.2764 eV/atom

Unit cell a=7.4969 b=7.4969 c=7.4969 alpha=59.06 beta=59.06 gamma=59.06
Each line ends with the local moment (μB).
Sites, in units of the cell vectors:
Mg 0.5000 0.0000 0.0000  0.00
Rb 0.3799 0.3799 0.3799  0.00
F 0.6753 0.0713 0.0713  0.03
F 0.3195 0.9280 0.3195  0.14
Mg 0.0000 0.0000 0.5000  0.00
Rb 0.6201 0.6201 0.6201  0.00
F 0.3195 0.3195 0.9280  0.14
F 0.9280 0.3195 0.3195  0.14
F 0.6805 0.0720 0.6805  0.14
F 0.9287 0.9287 0.3247  0.03
F 0.3247 0.9287 0.9287  0.03
F 0.0720 0.6805 0.6805  0.14
Sc 0.0000 0.0000 0.0000  0.00
F 0.0713 0.0713 0.6753  0.03
Mg 0.0000 0.5000 0.0000  0.00
F 0.6805 0.6805 0.0720  0.14
F 0.9287 0.3247 0.9287  0.03
F 0.0713 0.6753 0.0713  0.03

The following is a DFT calculation (GGA-PBE) of a relaxed RbMgSeF2 crystal.

Output
Space-group type = P4/mmm (123)
ΔE_f (raw) = -0.7965 eV/atom

Unit cell a=4.4857 b=7.9478 c=4.4857 alpha=90.00 beta=90.00 gamma=90.00
Sites, in units of the cell vectors:
Mg 0.0000 0.5000 0.0000
Se 0.5000 0.5000 0.5000
F 0.0000 0.0000 0.5000
F 0.5000 0.0000 0.0000
Rb 0.0000 0.0000 0.0000

Repeat the first record exactly.
The following is a DFT calculation (GGA-PBE) of a relaxed RbMg2SbF crystal.

Output
Space-group type = P4/mmm (123)
ΔE_f (raw) = -0.0373 eV/atom

Unit cell a=6.0870 b=4.5791 c=6.0870 alpha=90.00 beta=90.00 gamma=90.00
Sites, in units of the cell vectors:
Rb 0.0000 0.0000 0.0000
Sb 0.5000 0.5000 0.5000
Mg 0.5000 0.0000 0.0000
F 0.0000 0.5000 0.0000
Mg 0.0000 0.0000 0.5000